[1]
This record from the Alexandria database describes crystalline Ba3Sb5O12 at its relaxed geometry. The functional is GGA-PBE.

Properties
uncorrected formation energy = -1.706 eV per atom
total energy = -0.2205 Ha/atom
space-group type = Ia-3d

```
80
Lattice="12.260 0.000 0.000 -4.087 11.559 0.000 -4.087 -5.779 10.010" Properties=species:S:1:pos:R:3 pbc="T T T"
Ba 7.152 3.612 1.251
Ba 7.152 7.947 1.251
Ba -1.022 5.057 6.256
Ba 1.022 -0.722 3.754
Ba 9.195 0.000 2.503
Ba 1.022 5.779 2.503
Ba 3.065 0.000 7.508
Ba -5.108 5.779 7.508
Ba 3.065 6.502 6.256
Ba 5.108 0.722 3.754
Ba -3.065 -2.167 8.759
Ba -3.065 2.167 8.759
Sb -1.022 2.890 2.503
Sb -2.043 5.779 0.000
Sb 0.000 0.000 0.000
Sb 3.065 2.167 1.251
Sb 4.087 -2.890 5.005
Sb 4.087 5.779 0.000
Sb -3.065 6.502 3.754
Sb 5.108 -3.612 8.759
Sb 5.108 5.057 3.754
Sb 1.022 -2.890 7.508
Sb 3.065 8.669 2.503
Sb 2.043 2.890 5.005
Sb 6.130 0.000 0.000
Sb -2.043 -2.890 5.005
Sb -1.022 0.722 6.256
Sb -1.022 9.392 1.251
Sb -4.087 2.890 5.005
Sb 7.152 -0.722 6.256
Sb 1.022 3.612 8.759
Sb 5.108 2.890 7.508
O 7.873 1.186 0.152
O 0.300 3.614 4.054
O 9.189 2.679 3.164
O 5.114 1.490 1.103
O 1.506 4.041 6.695
O 8.952 5.902 1.690
O -1.016 6.969 4.267
O -3.071 10.069 1.103
O 0.537 7.518 6.695
O 5.351 5.657 1.690
O 6.430 3.351 3.902
O 6.430 10.373 0.152
O -3.550 4.928 5.157
O 2.822 4.255 0.738
O -4.387 8.208 3.902
O 2.344 -2.165 5.956
O -0.537 0.888 1.842
O 2.822 7.181 0.951
O 5.114 8.880 3.164
O -0.779 4.378 0.951
O -2.580 6.667 8.169
O 3.059 4.590 4.267
O 5.593 6.630 5.157
O 4.866 -1.525 9.272
O 1.027 1.190 5.744
O -1.506 -0.851 4.853
O -0.779 7.304 0.738
O -1.027 -3.100 6.847
O 6.667 -0.888 1.842
O 4.866 1.402 9.059
O 1.264 -1.402 9.059
O 1.743 7.944 4.054
O 4.624 4.892 8.169
O 8.474 -2.428 6.108
O 7.636 0.851 4.853
O -2.344 -4.593 9.858
O 1.264 1.525 9.272
O 3.550 -1.739 3.316
O -1.264 0.123 8.321
O -2.344 2.428 6.108
O 7.157 -4.290 8.907
O 5.103 -1.190 5.744
O -1.027 4.290 8.907
O -4.866 -0.123 8.321
O 2.580 1.739 3.316
O -5.103 3.100 6.847
O 3.786 2.165 5.956
O -3.786 4.593 9.858
```

[2]
This record from the Alexandria database describes crystalline UBiRu at its relaxed geometry. The functional is GGA-PBE.

Properties
total energy = -0.2984 Ha/atom
E_form = 0.028 eV/atom
space-group type = F-43m

```
3
Lattice="-4.087 1.193 1.956 -0.434 0.068 4.665 -0.414 4.086 2.255" Properties=species:S:1:pos:R:3 pbc="T T T"
Ru -1.234 1.337 2.219
U -2.467 2.674 4.438
Bi 0.000 0.000 0.000
```

[3]
This record from the Alexandria database describes crystalline Tb2PmSmS6 at its relaxed geometry. The functional is GGA-PBE.

Properties
uncorrected formation energy = -2.044 eV per atom
total energy = -0.2349 Ha/atom
space-group type = R3

```
10
Lattice="-1.517 -4.093 -5.519 5.145 -3.430 -3.358 0.457 -7.367 0.851" Properties=species:S:1:pos:R:3 pbc="T T T"
Tb 2.080 -7.199 -4.206
Tb 0.494 -7.130 0.666
Pm 3.203 -10.266 -6.725
Sm 1.163 -2.806 -2.724
S 0.304 -5.139 -3.972
S 4.446 -5.844 -4.054
S 1.946 -7.681 -6.890
S 3.438 -9.639 -4.016
S -0.102 -8.896 -3.767
S 2.231 -7.417 -1.419
```

[4]
This record from the Alexandria database describes crystalline NbTeIr2Se at its relaxed geometry. The functional is GGA-PBE.

Properties
uncorrected formation energy = 1.036 eV per atom
total energy = -0.2149 Ha/atom
space-group type = P4/mmm

```
5
Lattice="4.888 0.000 0.000 0.000 4.868 0.000 0.000 0.000 4.888" Properties=species:S:1:pos:R:3 pbc="T T T"
Nb 0.000 0.000 0.000
Ir 0.000 0.000 2.444
Ir 2.444 0.000 0.000
Te 2.444 2.434 2.444
Se 0.000 2.434 0.000
```

[5]
This record from the Alexandria database describes crystalline NpTi2Tl at its relaxed geometry. The functional is GGA-PBE.

Properties
total energy = -0.2764 Ha/atom
E_form = 0.253 eV/atom
space-group type = P4/mmm

```
4
Lattice="-0.649 0.444 3.287 -1.290 -3.120 0.167 6.167 -2.466 1.551" Properties=species:S:1:pos:R:3 pbc="T T T"
Np -0.969 -1.338 1.727
Tl 2.114 -2.571 2.503
Ti 4.770 -1.907 1.199
Ti 1.397 -0.559 0.351
```

[6]
This record from the Alexandria database describes crystalline Nd2As4Ir3Pt at its relaxed geometry. The functional is GGA-PBE.

Properties
total energy = -0.2512 Ha/atom
E_form = -0.760 eV/atom
space-group type = P-4m2

```
10
Lattice="4.396 0.000 0.000 0.000 4.396 0.000 0.000 0.000 9.822" Properties=species:S:1:pos:R:3 pbc="T T T"
Nd 2.198 0.000 2.412
Nd 0.000 2.198 7.411
As 2.198 2.198 0.000
As 0.000 0.000 0.000
As 2.198 0.000 6.254
As 0.000 2.198 3.568
Ir 0.000 0.000 4.911
Ir 2.198 0.000 8.691
Ir 0.000 2.198 1.131
Pt 2.198 2.198 4.911
```

[7]
This record from the Alexandria database describes crystalline KHf2Os at its relaxed geometry. The functional is GGA-PBE.

Properties
total energy = -0.2539 Ha/atom
E_form = 1.149 eV/atom
space-group type = I4_1/amd

```
8
Lattice="6.381 0.000 0.000 0.000 6.381 0.000 3.191 3.191 7.703" Properties=species:S:1:pos:R:3 pbc="T T T"
Hf 6.381 1.595 1.926
Hf 6.382 4.786 1.926
Hf 4.786 3.191 5.777
Hf 7.977 3.191 5.777
K 3.191 3.191 0.000
K 3.191 6.381 3.851
Os 0.000 0.000 0.000
Os 6.381 3.191 3.851
```

[8]
This record from the Alexandria database describes crystalline PbCl at its relaxed geometry. The functional is GGA-PBE.

Properties
uncorrected formation energy = -0.668 eV per atom
total energy = -0.1266 Ha/atom
space-group type = Amm2

```
12
Lattice="3.608 0.000 0.000 0.000 10.897 0.000 0.000 0.000 9.222" Properties=species:S:1:pos:R:3 pbc="T T T"
Pb 0.000 2.877 7.795
Pb 0.000 8.020 7.795
Pb 0.000 8.325 3.184
Pb 0.000 2.571 3.184
Pb 1.804 0.000 8.408
Pb 1.804 5.448 3.797
Cl 1.804 9.041 5.476
Cl 1.804 1.855 5.476
Cl 1.804 3.593 0.865
Cl 1.804 7.304 0.865
Cl 1.804 0.000 1.957
Cl 1.804 5.448 6.568
```